ReIr (PBE, relaxed); total magnetic moment = 0.00 μB per cell; distance to the lowest polymorph of the same formula = 550 meV/atom; raw total energy = -10.381 eV/atom; E_form = 0.27 eV/atom
1.0
3.2949 0.0000 0.0000
0.0000 3.2949 0.0000
0.0000 0.0000 5.5526
Re Ir
2 2
Direct
0.5000 0.5000 0.7588 Re
0.0000 0.0000 0.4912 Re
0.0000 0.0000 0.0064 Ir
0.5000 0.5000 0.2436 Ir